(1)
Material: Sc2Ni
Method: DFT, meta-GGA SCAN
State: PBEsol geometry

a b c (Å): 11.936 11.936 11.936
angles (deg): 90.00 90.00 90.00
Space group Fd-3m (No. 227, origin choice 2)
One atom of each set of equivalent atoms:
1 Sc 0.000 0.000 0.000 [16 per cell]
2 Sc 0.061 0.375 0.875 [48 per cell]
3 Ni 0.039 0.039 0.211 [32 per cell]

Computed properties:
* formation energy: -0.3720 eV/atom
* total magnetization: 0.00 μB/f.u.

***

(2)
Material: KTiTePt2
Method: DFT, meta-GGA SCAN
State: PBEsol geometry

a b c (Å): 4.962 4.962 5.696
angles (deg): 90.00 90.00 90.00
Space group P4/mmm (No. 123)
One atom of each set of equivalent atoms:
1 K 0.000 0.000 0.000 [1 per cell]
2 Ti 0.500 0.500 0.000 [1 per cell]
3 Te 0.000 0.000 0.500 [1 per cell]
4 Pt 0.000 0.500 0.500 [2 per cell]

Computed properties:
* total magnetization: 2.92 μB/f.u.
* raw formation energy: 0.76 eV/atom

***

(3)
Material: AlSb2P
Method: DFT, meta-GGA SCAN
State: PBEsol geometry

a b c (Å): 3.262 3.262 9.087
angles (deg): 90.00 90.00 90.00
Space group P4mm (No. 99)
One atom of each set of equivalent atoms:
1 Al 0.000 0.000 0.000 [1 per cell]
2 Sb 0.000 0.000 0.296 [1 per cell]
3 Sb 0.500 0.500 0.641 [1 per cell]
4 P 0.500 0.500 0.917 [1 per cell]

Computed properties:
* total magnetization: 0.00 μB/f.u.
* polymorph energy (0 for the lowest one): 0.00 eV per formula unit
* raw formation energy: -0.02 eV/atom

***

(4)
Material: Ba3Pt
Method: DFT, meta-GGA SCAN
State: PBEsol geometry

a b c (Å): 4.232 7.604 10.829
angles (deg): 90.00 90.00 90.00
Space group Pmmn (No. 59, origin choice 2)
One atom of each set of equivalent atoms:
1 Ba 0.250 0.011 0.174 [4 per cell]
2 Ba 0.250 0.250 0.525 [2 per cell]
3 Pt 0.250 0.750 0.682 [2 per cell]

Computed properties:
* formation energy: -0.4557 eV/atom
* total magnetization: 0.08 μB/f.u.